1.
TlInHg2Pb after structural relaxation. Source: Alexandria, functional PBE-GGA.

N(E_F): 0.280 states/eV/atom
Calculated formation energy: 0.069 eV/atom
Total magnetization: 0.000 Bohr magnetons per cell

abc: 4.7261 4.7261 8.0154
angles: 90.00 90.00 120.00
Space group P3m1 (No. 156)
Symmetry-distinct sites (fractional):
Tl  0.0000  0.0000  0.0000
In  0.3333  0.6667  0.6211
Hg  0.3333  0.6667  0.2024
Hg  0.6667  0.3333  0.7933
Pb  0.6667  0.3333  0.3834


2.
KScW after structural relaxation. Source: Alexandria, functional PBE-GGA.

Relative energy among the computed polymorphs: 0.18 kcal/mol of atoms
N(E_F): 0.995 states/eV/atom
Calculated formation energy: 0.879 eV/atom
Total magnetization: 0.000 Bohr magnetons per cell

abc: 2.9255 2.9255 17.4387
angles: 90.00 90.00 90.00
Space group I4mm (No. 107)
Symmetry-distinct sites (fractional):
K  0.0000  0.0000  0.0000
Sc  0.0000  0.0000  0.2934
W  0.0000  0.0000  0.6756


3.
CuMoPb2 after structural relaxation. Source: Alexandria, functional PBE-GGA.

Relative energy among the computed polymorphs: 7.31 kcal/mol of atoms
N(E_F): 0.723 states/eV/atom
Calculated formation energy: 0.752 eV/atom
Total magnetization: 0.002 Bohr magnetons per cell

abc: 9.3684 3.1453 5.7769
angles: 90.00 101.20 90.00
Space group C2/m (No. 12)
Symmetry-distinct sites (fractional):
Cu  0.0000  0.0000  0.0000
Mo  0.0000  0.5000  0.5000
Pb  0.2488  0.5000  0.2516


4.
BeSiI2N after structural relaxation. Source: Alexandria, functional PBE-GGA.

Relative energy among the computed polymorphs: 0.23 kcal/mol of atoms
N(E_F): 0.801 states/eV/atom
Total magnetization: 0.001 Bohr magnetons per cell

abc: 5.6527 5.6527 3.2074
angles: 90.00 90.00 90.00
Space group P4/mmm (No. 123)
Symmetry-distinct sites (fractional):
Be  0.0000  0.0000  0.0000
Si  0.5000  0.5000  0.5000
I  0.0000  0.5000  0.0000
N  0.0000  0.0000  0.5000


5.
ZrP2HCl after structural relaxation. Source: Alexandria, functional PBE-GGA.

Relative energy among the computed polymorphs: 9.83 kcal/mol of atoms
N(E_F): 0.678 states/eV/atom
Total magnetization: 0.114 Bohr magnetons per cell

abc: 5.0850 5.0850 5.1345
angles: 90.00 90.00 90.00
Space group P4/mmm (No. 123)
Symmetry-distinct sites (fractional):
Zr  0.0000  0.0000  0.0000
P  0.0000  0.5000  0.0000
H  0.5000  0.5000  0.5000
Cl  0.0000  0.0000  0.5000


6.
Pr2HoMg4 after structural relaxation. Source: Alexandria, functional PBE-GGA.

Relative energy among the computed polymorphs: 9.22 kcal/mol of atoms
N(E_F): 1.338 states/eV/atom
Calculated formation energy: 0.516 eV/atom
Total magnetization: 0.002 Bohr magnetons per cell

abc: 5.5788 5.5788 16.4601
angles: 90.00 90.00 90.00
Space group I4/mmm (No. 139)
Symmetry-distinct sites (fractional):
Pr  0.0000  0.0000  0.1088
Ho  0.0000  0.0000  0.5000
Mg  0.0000  0.0000  0.3167
Mg  0.0000  0.5000  0.0000